No. 1
A relaxed Tm2TeC crystal, computed with PBE.

Lattice parameters (Å, degrees): 3.7704 3.7704 20.7816 90.00 90.00 120.00
Space group R-3m (No. 166, hexagonal axes)
Asymmetric unit:
Tm: 0.0000 0.0000 0.2282
Te: 0.0000 0.0000 0.0000
C: 0.0000 0.0000 0.5000

Density of states at the Fermi level   2.18 states/eV/cell
DFT total energy   -0.228 Ha/atom
Raw formation energy   -341 kJ/mol of formula units

No. 2
A relaxed Tm4Te3C crystal, computed with PBE.

Lattice parameters (Å, degrees): 8.455 11.897 4.009 90.00 90.00 90.00
Space group Cmmm (No. 65)
Asymmetric unit:
Tm: 0.000 0.205 0.000
Tm: 0.197 0.000 0.500
Te: 0.000 0.500 0.000
Te: 0.250 0.250 0.500
C: 0.000 0.000 0.000

Density of states at the Fermi level   4.32 states/eV/cell
DFT total energy   -0.206 Ha/atom
Raw formation energy   -796 kJ/mol of formula units
Offset from the most stable computed form   0.00 eV per formula unit

No. 3
A relaxed Tm2TeC2 crystal, computed with PBE.

Lattice parameters (Å, degrees): 13.940 4.082 6.940 90.00 101.89 90.00
Space group C2/c (No. 15)
Asymmetric unit:
Tm: 0.154 0.174 0.138
Te: 0.000 0.297 0.750
C: 0.230 0.375 0.538

Density of states at the Fermi level   3.81 states/eV/cell
DFT total energy   -0.250 Ha/atom
Raw formation energy   -340 kJ/mol of formula units

No. 4
A relaxed Tm3TeC2 crystal, computed with PBE.

Lattice parameters (Å, degrees): 6.323 3.556 10.885 90.00 98.42 90.00
Space group P2_1/m (No. 11)
Asymmetric unit:
Tm: 0.038 0.250 0.375
Tm: 0.235 0.750 0.896
Tm: 0.436 0.250 0.624
Te: 0.286 0.250 0.138
C: 0.170 0.250 0.759
C: 0.257 0.750 0.495

Density of states at the Fermi level   10.40 states/eV/cell
DFT total energy   -0.233 Ha/atom
Raw formation energy   -300 kJ/mol of formula units

No. 5
A relaxed Tm8Te2C3 crystal, computed with PBE.

Lattice parameters (Å, degrees): 14.466 7.414 6.285 90.00 108.29 90.00
Space group C2/m (No. 12)
Asymmetric unit:
Tm: 0.092 0.239 0.236
Tm: 0.095 0.000 0.741
Tm: 0.097 0.500 0.726
Te: 0.249 0.500 0.487
C: 0.000 0.000 0.000
C: 0.000 0.254 0.500

Density of states at the Fermi level   21.12 states/eV/cell
DFT total energy   -0.217 Ha/atom
Raw formation energy   -688 kJ/mol of formula units
Offset from the most stable computed form   0.00 eV per formula unit

No. 6
A relaxed Tm4Te3C2 crystal, computed with PBE.

Lattice parameters (Å, degrees): 14.457 3.483 8.931 90.00 104.07 90.00
Space group C2/m (No. 12)
Asymmetric unit:
Tm: 0.095 0.000 0.213
Tm: 0.185 0.500 0.598
Te: 0.000 0.000 0.500
Te: 0.102 0.500 0.905
C: 0.197 0.500 0.339

Density of states at the Fermi level   10.40 states/eV/cell
DFT total energy   -0.212 Ha/atom
Raw formation energy   -605 kJ/mol of formula units

No. 7
A relaxed Tm4TeC crystal, computed with PBE.

Lattice parameters (Å, degrees): 9.344 13.992 6.046 90.00 128.77 90.00
Space group C2/c (No. 15)
Asymmetric unit:
Tm: 0.136 0.194 0.117
Tm: 0.200 0.048 0.641
Te: 0.000 0.382 0.750
C: 0.000 0.075 0.750

Density of states at the Fermi level   22.99 states/eV/cell
DFT total energy   -0.203 Ha/atom
Raw formation energy   -273 kJ/mol of formula units
Offset from the most stable computed form   0.00 eV per formula unit

No. 8
A relaxed Tm3Te2C2 crystal, computed with PBE.

Lattice parameters (Å, degrees): 6.306 7.395 7.505 90.00 113.76 90.00
Space group P2_1/c (No. 14)
Asymmetric unit:
Tm: 0.000 0.000 0.000
Tm: 0.404 0.130 0.771
Te: 0.182 0.639 0.917
C: 0.351 0.112 0.066

Density of states at the Fermi level   8.58 states/eV/cell
DFT total energy   -0.213 Ha/atom
Raw formation energy   -239 kJ/mol of formula units

> Look up the DFT total energy of the second one.

-0.206 Ha/atom